Crystalline AgPSe at its relaxed geometry. Source: Alexandria, functional GGA-PBE.

The calculation puts the formation energy without anion corrections at 0.22 eV/atom. Its space group is I4mm. For the total DFT energy (no corrections), the calculation gives -3.697 eV per atom.

Lattice parameters (Å, degrees): 6.042 6.042 6.042 145.58 145.58 49.47
Atoms (fractional coordinates):
Ag1 0.000 0.000 0.000
P1 0.219 0.219 0.000
Se1 0.767 0.767 0.000

Crystalline AlZn2Rh2 at its relaxed geometry. Source: Alexandria, functional GGA-PBE.

Its space group is I4/mmm. For the total DFT energy (no corrections), the calculation gives -4.170 eV per atom. For the formation energy from the elements, the calculation gives 0.029 eV/atom. Its distance to the lowest polymorph of the same formula is 519.0 meV per atom.

Lattice parameters (Å, degrees): 5.047 5.047 5.047 126.02 126.02 79.85
Atoms (fractional coordinates):
Al1 0.000 0.000 0.000
Zn1 0.352 0.352 0.000
Zn2 0.648 0.648 0.000
Rh1 0.250 0.750 0.500
Rh2 0.750 0.250 0.500

no.,magnetization (μB per cell),DOS(E_F) (states/eV/cell)
1,0.000,0.2
2,0.000,3.2